Computed, not measured: an optimized crystal structure of HfTi2HIr at the PBE level of DFT.

```
5
Lattice="3.893 0.000 0.000 0.000 3.893 0.000 0.000 0.000 4.640" Properties=species:S:1:pos:R:3 pbc="T T T"
Hf 0.000 0.000 0.000
Ti 0.000 1.946 2.320
Ti 1.946 0.000 2.320
H 0.000 0.000 2.320
Ir 1.946 1.946 0.000
```

Results
The total energy is -8.053 eV per atom.